Computed, not measured: an optimized crystal structure of LaGe3Pb at the PBE level of DFT.

Cell and atoms, written as CIF:
```
data_LaGe3Pb
_space_group_name_H-M_alt 'P 1'
_space_group_IT_number 1
_space_group_name_Hall 'P 1'
_cell_length_a 5.3624
_cell_length_b 5.3624
_cell_length_c 5.3624
_cell_angle_alpha 90.00
_cell_angle_beta 90.00
_cell_angle_gamma 90.00
loop_
_atom_site_label
_atom_site_type_symbol
_atom_site_fract_x
_atom_site_fract_y
_atom_site_fract_z
Pb1 Pb 0.0000 0.0000 0.0000
Ge1 Ge 0.0000 0.5000 0.0000
Ge2 Ge 0.0000 0.0000 0.5000
Ge3 Ge 0.5000 0.0000 0.0000
La1 La 0.5000 0.5000 0.5000
```

Calculated values
Relative energy among the computed polymorphs ... 0.000 eV/atom
Calculated formation energy ... 505 meV per atom

=====

Computed, not measured: an optimized crystal structure of CaLa2S at the PBE level of DFT.

Cell and atoms, written as CIF:
```
data_CaLa2S
_space_group_name_H-M_alt 'P 1'
_space_group_IT_number 1
_space_group_name_Hall 'P 1'
_cell_length_a 9.1099
_cell_length_b 9.1099
_cell_length_c 7.1487
_cell_angle_alpha 50.42
_cell_angle_beta 50.42
_cell_angle_gamma 90.00
loop_
_atom_site_label
_atom_site_type_symbol
_atom_site_fract_x
_atom_site_fract_y
_atom_site_fract_z
Ca1 Ca 0.0000 0.0000 0.0000
Ca2 Ca 0.7500 0.2500 0.5000
S1 S 0.5000 0.5000 0.0000
S2 S 0.2500 0.7500 0.5000
La1 La 0.5490 0.1250 0.2500
La2 La 0.2010 0.6250 0.2500
La3 La 0.3750 0.4510 0.7500
La4 La 0.8750 0.7990 0.7500
```

Calculated values
Energy relative to the elements, uncorrected ... -65 kJ/mol of atoms

=====

Computed, not measured: an optimized crystal structure of YPuSe at the PBE level of DFT.

Cell and atoms, written as CIF:
```
data_YPuSe
_space_group_name_H-M_alt 'P 1'
_space_group_IT_number 1
_space_group_name_Hall 'P 1'
_cell_length_a 3.5488
_cell_length_b 3.5488
_cell_length_c 6.8218
_cell_angle_alpha 105.08
_cell_angle_beta 105.08
_cell_angle_gamma 90.00
loop_
_atom_site_label
_atom_site_type_symbol
_atom_site_fract_x
_atom_site_fract_y
_atom_site_fract_z
Y1 Y 0.6944 0.6944 0.3889
Se1 Se 0.3305 0.3305 0.6611
Pu1 Pu 0.9750 0.9750 0.9500
```

Calculated values
Energy relative to the elements, uncorrected ... -73 kJ/mol of atoms
Relative energy among the computed polymorphs ... 0.000 eV/atom

=====

Computed, not measured: an optimized crystal structure of ErScCdGe at the PBE level of DFT.

Cell and atoms, written as CIF:
```
data_ErScCdGe
_space_group_name_H-M_alt 'P 1'
_space_group_IT_number 1
_space_group_name_Hall 'P 1'
_cell_length_a 4.9827
_cell_length_b 4.9827
_cell_length_c 4.9827
_cell_angle_alpha 60.00
_cell_angle_beta 60.00
_cell_angle_gamma 60.00
loop_
_atom_site_label
_atom_site_type_symbol
_atom_site_fract_x
_atom_site_fract_y
_atom_site_fract_z
Sc1 Sc 0.2500 0.2500 0.2500
Ge1 Ge 0.5000 0.5000 0.5000
Cd1 Cd 0.0000 0.0000 0.0000
Er1 Er 0.7500 0.7500 0.7500
```

Calculated values
Calculated formation energy ... -436 meV per atom

=====

Computed, not measured: an optimized crystal structure of BaGa3B4O12 at the PBE level of DFT.

Cell and atoms, written as CIF:
```
data_BaGa3B4O12
_space_group_name_H-M_alt 'P 1'
_space_group_IT_number 1
_space_group_name_Hall 'P 1'
_cell_length_a 6.1775
_cell_length_b 6.1775
_cell_length_c 6.1775
_cell_angle_alpha 102.83
_cell_angle_beta 102.83
_cell_angle_gamma 102.83
loop_
_atom_site_label
_atom_site_type_symbol
_atom_site_fract_x
_atom_site_fract_y
_atom_site_fract_z
Ba1 Ba 0.0000 0.0000 0.0000
Ga1 Ga 0.5547 0.4453 0.0000
Ga2 Ga 0.4453 0.0000 0.5547
Ga3 Ga 0.0000 0.5547 0.4453
B1 B 0.9416 0.0584 0.5000
B2 B 0.0584 0.5000 0.9416
B3 B 0.5000 0.9416 0.0584
B4 B 0.5000 0.5000 0.5000
O1 O 0.5000 0.3555 0.6445
O2 O 0.9116 0.5000 0.0884
O3 O 0.0884 0.9116 0.5000
O4 O 0.5000 0.0884 0.9116
O5 O 0.3974 0.9809 0.2314
O6 O 0.2314 0.3974 0.9809
O7 O 0.9809 0.2314 0.3974
O8 O 0.6026 0.7686 0.0191
O9 O 0.0191 0.6026 0.7686
O10 O 0.7686 0.0191 0.6026
O11 O 0.6445 0.5000 0.3555
O12 O 0.3555 0.6445 0.5000
```

Calculated values
Energy relative to the elements, uncorrected ... -207 kJ/mol of atoms

=====

Computed, not measured: an optimized crystal structure of Al2FeP at the PBE level of DFT.

Cell and atoms, written as CIF:
```
data_Al2FeP
_space_group_name_H-M_alt 'P 1'
_space_group_IT_number 1
_space_group_name_Hall 'P 1'
_cell_length_a 7.7607
_cell_length_b 7.7607
_cell_length_c 7.7607
_cell_angle_alpha 21.62
_cell_angle_beta 21.62
_cell_angle_gamma 21.62
loop_
_atom_site_label
_atom_site_type_symbol
_atom_site_fract_x
_atom_site_fract_y
_atom_site_fract_z
P1 P 0.7610 0.7610 0.7610
Fe1 Fe 0.4915 0.4915 0.4915
Al1 Al 0.0058 0.0058 0.0058
Al2 Al 0.2417 0.2417 0.2417
```

Calculated values
Calculated formation energy ... -128 meV per atom

=====

Computed, not measured: an optimized crystal structure of SrPbS2Cl at the PBE level of DFT.

Cell and atoms, written as CIF:
```
data_SrPbS2Cl
_space_group_name_H-M_alt 'P 1'
_space_group_IT_number 1
_space_group_name_Hall 'P 1'
_cell_length_a 5.7190
_cell_length_b 5.7190
_cell_length_c 5.4955
_cell_angle_alpha 90.00
_cell_angle_beta 90.00
_cell_angle_gamma 90.00
loop_
_atom_site_label
_atom_site_type_symbol
_atom_site_fract_x
_atom_site_fract_y
_atom_site_fract_z
Pb1 Pb 0.5000 0.5000 0.5000
Sr1 Sr 0.0000 0.0000 0.0000
S1 S 0.0000 0.5000 0.0000
S2 S 0.5000 0.0000 0.0000
Cl1 Cl 0.0000 0.0000 0.5000
```

Calculated values
Energy relative to the elements, uncorrected ... -53 kJ/mol of atoms
Relative energy among the computed polymorphs ... 0.327 eV/atom

=====

Computed, not measured: an optimized crystal structure of Sm2RuAu at the PBE level of DFT.

Cell and atoms, written as CIF:
```
data_Sm2RuAu
_space_group_name_H-M_alt 'P 1'
_space_group_IT_number 1
_space_group_name_Hall 'P 1'
_cell_length_a 3.5042
_cell_length_b 3.5042
_cell_length_c 7.4542
_cell_angle_alpha 90.00
_cell_angle_beta 90.00
_cell_angle_gamma 90.00
loop_
_atom_site_label
_atom_site_type_symbol
_atom_site_fract_x
_atom_site_fract_y
_atom_site_fract_z
Ru1 Ru 0.5000 0.5000 0.0000
Au1 Au 0.5000 0.5000 0.5000
Sm1 Sm 0.0000 0.0000 0.7692
Sm2 Sm 0.0000 0.0000 0.2308
```

Calculated values
Calculated formation energy ... -540 meV per atom

=====

Computed, not measured: an optimized crystal structure of Ho2InPb3 at the PBE level of DFT.

Cell and atoms, written as CIF:
```
data_Ho2InPb3
_space_group_name_H-M_alt 'P 1'
_space_group_IT_number 1
_space_group_name_Hall 'P 1'
_cell_length_a 4.5676
_cell_length_b 4.6751
_cell_length_c 8.0884
_cell_angle_alpha 90.00
_cell_angle_beta 106.40
_cell_angle_gamma 90.00
loop_
_atom_site_label
_atom_site_type_symbol
_atom_site_fract_x
_atom_site_fract_y
_atom_site_fract_z
Ho1 Ho 0.1496 0.5000 0.2993
Ho2 Ho 0.8504 0.5000 0.7007
In1 In 0.0000 0.0000 0.0000
Pb1 Pb 0.3261 0.0000 0.6521
Pb2 Pb 0.6739 0.0000 0.3479
Pb3 Pb 0.5000 0.5000 0.0000
```

Calculated values
Relative energy among the computed polymorphs ... 0.000 eV/atom
Calculated formation energy ... -374 meV per atom

=====

Computed, not measured: an optimized crystal structure of Li2BPd3 at the PBE level of DFT.

Cell and atoms, written as CIF:
```
data_Li2BPd3
_space_group_name_H-M_alt 'P 1'
_space_group_IT_number 1
_space_group_name_Hall 'P 1'
_cell_length_a 4.4488
_cell_length_b 4.4488
_cell_length_c 4.4488
_cell_angle_alpha 75.44
_cell_angle_beta 75.44
_cell_angle_gamma 75.44
loop_
_atom_site_label
_atom_site_type_symbol
_atom_site_fract_x
_atom_site_fract_y
_atom_site_fract_z
Li1 Li 0.3793 0.3793 0.3793
Li2 Li 0.6207 0.6207 0.6207
B1 B 0.0000 0.0000 0.0000
Pd1 Pd 0.0000 0.0000 0.5000
Pd2 Pd 0.5000 0.0000 0.0000
Pd3 Pd 0.0000 0.5000 0.0000
```

Calculated values
Relative energy among the computed polymorphs ... 0.131 eV/atom
Calculated formation energy ... -322 meV per atom

=====

Computed, not measured: an optimized crystal structure of AgRuSe4 at the PBE level of DFT.

Cell and atoms, written as CIF:
```
data_AgRuSe4
_space_group_name_H-M_alt 'P 1'
_space_group_IT_number 1
_space_group_name_Hall 'P 1'
_cell_length_a 5.6478
_cell_length_b 5.6478
_cell_length_c 5.6478
_cell_angle_alpha 60.00
_cell_angle_beta 60.00
_cell_angle_gamma 60.00
loop_
_atom_site_label
_atom_site_type_symbol
_atom_site_fract_x
_atom_site_fract_y
_atom_site_fract_z
Ag1 Ag 0.7500 0.7500 0.7500
Ru1 Ru 0.0000 0.0000 0.0000
Se1 Se 0.8754 0.3749 0.3749
Se2 Se 0.3749 0.3749 0.8754
Se3 Se 0.3749 0.8754 0.3749
Se4 Se 0.3749 0.3749 0.3749
```

Calculated values
Energy relative to the elements, uncorrected ... 97 kJ/mol of atoms
Relative energy among the computed polymorphs ... 1.049 eV/atom

=====

Computed, not measured: an optimized crystal structure of NbHI2O at the PBE level of DFT.

Cell and atoms, written as CIF:
```
data_NbHI2O
_space_group_name_H-M_alt 'P 1'
_space_group_IT_number 1
_space_group_name_Hall 'P 1'
_cell_length_a 5.6797
_cell_length_b 5.6797
_cell_length_c 3.9178
_cell_angle_alpha 90.00
_cell_angle_beta 90.00
_cell_angle_gamma 90.00
loop_
_atom_site_label
_atom_site_type_symbol
_atom_site_fract_x
_atom_site_fract_y
_atom_site_fract_z
I1 I 0.0000 0.5000 0.0000
I2 I 0.5000 0.0000 0.0000
H1 H 0.5000 0.5000 0.5000
Nb1 Nb 0.0000 0.0000 0.0000
O1 O 0.0000 0.0000 0.5000
```

Calculated values
Relative energy among the computed polymorphs ... 0.000 eV/atom